Record 1
# PBE Ce3Ga6Ni5, relaxed
data_Ce3Ga6Ni5
_cell_length_a 4.159
_cell_length_b 12.525
_cell_length_c 9.018
_cell_angle_alpha 90.00
_cell_angle_beta 90.00
_cell_angle_gamma 90.00
_symmetry_space_group_name_H-M 'P m m n'
_symmetry_Int_Tables_number 59
loop_
_symmetry_equiv_pos_as_xyz
'x,y,z'
'-x,-y,-z'
'-x+1/2,-y+1/2,z'
'x+1/2,y+1/2,-z'
'x+1/2,-y,-z'
'-x+1/2,y,z'
'-x,y+1/2,-z'
'x,-y+1/2,z'
loop_
_atom_site_label
_atom_site_fract_x
_atom_site_fract_y
_atom_site_fract_z
_atom_site_occupancy
Ce1 0.250 0.051 0.242 1
Ce2 0.250 0.750 0.270 1
Ga1 0.250 0.073 0.586 1
Ga2 0.250 0.250 0.030 1
Ga3 0.250 0.250 0.418 1
Ga4 0.250 0.602 0.984 1
Ni1 0.250 0.092 0.861 1
Ni2 0.250 0.638 0.546 1
Ni3 0.250 0.750 0.786 1
# Total magnetic moment, μB per atom: 0.03
# Calculated density, g/cm3: 8.0
# ΔH_f (0 K), meV per atom: -549
# Electronic total energy, eV/atom: -5.183

---

Record 2
# PBE Pr2SmPuS4, relaxed
data_Pr2SmPuS4
_cell_length_a 7.003
_cell_length_b 4.027
_cell_length_c 7.031
_cell_angle_alpha 90.00
_cell_angle_beta 109.22
_cell_angle_gamma 90.00
_symmetry_space_group_name_H-M 'P 1 2/m 1'
_symmetry_Int_Tables_number 10
_symmetry_space_group_name_Hall '-P 2y'
loop_
_atom_site_label
_atom_site_fract_x
_atom_site_fract_y
_atom_site_fract_z
_atom_site_occupancy
Pr1 0.000 0.000 0.000 1
Pr2 0.500 0.500 0.000 1
Sm1 0.000 0.500 0.500 1
Pu1 0.500 0.000 0.500 1
S1 0.249 0.000 0.740 1
S2 0.256 0.500 0.262 1
# Total magnetic moment, μB per atom: 0.71
# Calculated density, g/cm3: 7.1
# Electronic total energy, eV/atom: -7.612
# E_form (uncorrected), kJ per mole of atoms: -190.3

---

Record 3
# PBE KUC2O8, relaxed
data_KUC2O8
_cell_length_a 4.9961
_cell_length_b 4.9961
_cell_length_c 8.0841
_cell_angle_alpha 90.00
_cell_angle_beta 90.00
_cell_angle_gamma 120.00
_symmetry_space_group_name_H-M 'P -3'
_symmetry_Int_Tables_number 147
_symmetry_space_group_name_Hall '-P 3'
loop_
_atom_site_label
_atom_site_fract_x
_atom_site_fract_y
_atom_site_fract_z
_atom_site_occupancy
K1 0.0000 0.0000 0.0000 1
U1 0.0000 0.0000 0.5000 1
C1 0.3333 0.6667 0.7201 1
O1 0.1047 0.3755 0.6541 1
O2 0.3333 0.6667 0.8815 1
# Total magnetic moment, μB per atom: 0.09
# Calculated density, g/cm3: 4.1
# Electronic total energy, eV/atom: -7.570
# E_form (uncorrected), kJ per mole of atoms: -163.6

---

Record 4
# PBE La2Pm6DyHo, relaxed
data_La2Pm6DyHo
_cell_length_a 9.155
_cell_length_b 15.254
_cell_length_c 10.062
_cell_angle_alpha 90.00
_cell_angle_beta 100.13
_cell_angle_gamma 90.00
_symmetry_space_group_name_H-M 'C 1 2/c 1'
_symmetry_Int_Tables_number 15
_symmetry_space_group_name_Hall '-C 2yc'
loop_
_atom_site_label
_atom_site_fract_x
_atom_site_fract_y
_atom_site_fract_z
_atom_site_occupancy
La1 0.243 0.050 0.041 1
Pm1 0.067 0.191 0.444 1
Pm2 0.103 0.398 0.621 1
Pm3 0.199 0.219 0.811 1
Dy1 0.000 0.013 0.750 1
Ho1 0.000 0.405 0.250 1
# Total magnetic moment, μB per atom: 0.00
# Calculated density, g/cm3: 7.1
# ΔH_f (0 K), meV per atom: 114
# Electronic total energy, eV/atom: -4.639

---

Record 5
# PBE SmPuMgRh, relaxed
data_SmPuMgRh
_cell_length_a 7.201
_cell_length_b 7.201
_cell_length_c 7.201
_cell_angle_alpha 90.00
_cell_angle_beta 90.00
_cell_angle_gamma 90.00
_symmetry_space_group_name_H-M 'F -4 3 m'
_symmetry_Int_Tables_number 216
_symmetry_space_group_name_Hall 'F -4 2 3'
loop_
_atom_site_label
_atom_site_fract_x
_atom_site_fract_y
_atom_site_fract_z
_atom_site_occupancy
Sm1 0.000 0.000 0.000 1
Pu1 0.000 0.000 0.500 1
Mg1 0.250 0.250 0.750 1
Rh1 0.250 0.250 0.250 1
# Total magnetic moment, μB per atom: 1.35
# Calculated density, g/cm3: 9.3
# ΔH_f (0 K), meV per atom: -157
# Electronic total energy, eV/atom: -7.156

---

Record 6
# PBE MgVAuC, relaxed
data_MgVAuC
_cell_length_a 3.0954
_cell_length_b 3.0954
_cell_length_c 20.1999
_cell_angle_alpha 90.00
_cell_angle_beta 90.00
_cell_angle_gamma 120.00
_symmetry_space_group_name_H-M 'R 3 m'
_symmetry_Int_Tables_number 160
_symmetry_space_group_name_Hall 'R 3 -2"'
loop_
_atom_site_label
_atom_site_fract_x
_atom_site_fract_y
_atom_site_fract_z
_atom_site_occupancy
Mg1 0.0000 0.0000 0.0000 1
V1 0.0000 0.0000 0.7804 1
Au1 0.0000 0.0000 0.5571 1
C1 0.0000 0.0000 0.4066 1
# Total magnetic moment, μB per atom: 0.00
# Calculated density, g/cm3: 8.4
# ΔH_f (0 K), meV per atom: -142
# Electronic total energy, eV/atom: -5.946
# Energy above the lowest structure with this stoichiometry, meV/atom: 0

---

Record 7
# PBE IrSBrCl2, relaxed
data_IrSBrCl2
_cell_length_a 4.915
_cell_length_b 4.915
_cell_length_c 4.513
_cell_angle_alpha 90.00
_cell_angle_beta 90.00
_cell_angle_gamma 90.00
_symmetry_space_group_name_H-M 'P 4/m m m'
_symmetry_Int_Tables_number 123
_symmetry_space_group_name_Hall '-P 4 2'
loop_
_atom_site_label
_atom_site_fract_x
_atom_site_fract_y
_atom_site_fract_z
_atom_site_occupancy
Ir1 0.000 0.000 0.000 1
S1 0.000 0.000 0.500 1
Br1 0.500 0.500 0.500 1
Cl1 0.000 0.500 0.000 1
# Total magnetic moment, μB per atom: 0.00
# Calculated density, g/cm3: 5.7
# Electronic total energy, eV/atom: -3.394
# E_form (uncorrected), kJ per mole of atoms: 26.7
# Energy above the lowest structure with this stoichiometry, meV/atom: 0

---

Record 8
# PBE Mg3Cd4Hg2, relaxed
data_Mg3Cd4Hg2
_cell_length_a 13.788
_cell_length_b 10.999
_cell_length_c 5.390
_cell_angle_alpha 90.00
_cell_angle_beta 100.56
_cell_angle_gamma 90.00
_symmetry_space_group_name_H-M 'C 1 2/c 1'
_symmetry_Int_Tables_number 15
_symmetry_space_group_name_Hall '-C 2yc'
loop_
_atom_site_label
_atom_site_fract_x
_atom_site_fract_y
_atom_site_fract_z
_atom_site_occupancy
Mg1 0.000 0.127 0.250 1
Mg2 0.172 0.375 0.092 1
Cd1 0.054 0.377 0.526 1
Cd2 0.108 0.129 0.799 1
Hg1 0.222 0.122 0.349 1
# Total magnetic moment, μB per atom: 0.00
# Calculated density, g/cm3: 7.6
# ΔH_f (0 K), meV per atom: -89
# Electronic total energy, eV/atom: -1.094

---

Record 9
# PBE AlSnPb, relaxed
data_AlSnPb
_cell_length_a 4.377
_cell_length_b 6.011
_cell_length_c 6.728
_cell_angle_alpha 87.84
_cell_angle_beta 71.30
_cell_angle_gamma 70.31
_symmetry_space_group_name_H-M 'P -1'
_symmetry_Int_Tables_number 2
_symmetry_space_group_name_Hall '-P 1'
loop_
_atom_site_label
_atom_site_fract_x
_atom_site_fract_y
_atom_site_fract_z
_atom_site_occupancy
Al1 0.019 0.108 0.321 1
Sn1 0.410 0.761 0.941 1
Pb1 0.253 0.336 0.647 1
# Total magnetic moment, μB per atom: 0.00
# Calculated density, g/cm3: 7.4
# ΔH_f (0 K), meV per atom: 119
# Electronic total energy, eV/atom: -3.699
# Energy above the lowest structure with this stoichiometry, meV/atom: 0

---

Record 10
# PBE Li3YGa3, relaxed
data_Li3YGa3
_cell_length_a 7.144
_cell_length_b 4.307
_cell_length_c 9.234
_cell_angle_alpha 90.00
_cell_angle_beta 108.09
_cell_angle_gamma 90.00
_symmetry_space_group_name_H-M 'P 1 21/m 1'
_symmetry_Int_Tables_number 11
_symmetry_space_group_name_Hall '-P 2yb'
loop_
_atom_site_label
_atom_site_fract_x
_atom_site_fract_y
_atom_site_fract_z
_atom_site_occupancy
Li1 0.034 0.250 0.250 1
Li2 0.184 0.250 0.945 1
Li3 0.278 0.750 0.286 1
Y1 0.379 0.750 0.713 1
Ga1 0.056 0.250 0.588 1
Ga2 0.370 0.250 0.481 1
Ga3 0.421 0.750 0.047 1
# Total magnetic moment, μB per atom: 0.00
# Calculated density, g/cm3: 3.9
# ΔH_f (0 K), meV per atom: -351
# Electronic total energy, eV/atom: -3.392
# Energy above the lowest structure with this stoichiometry, meV/atom: 0

---

Record 11
# PBE K2Tl5Pd3, relaxed
data_K2Tl5Pd3
_cell_length_a 4.904
_cell_length_b 27.700
_cell_length_c 7.691
_cell_angle_alpha 90.00
_cell_angle_beta 90.00
_cell_angle_gamma 90.00
_symmetry_space_group_name_H-M 'C m c 21'
_symmetry_Int_Tables_number 36
_symmetry_space_group_name_Hall 'C 2c -2'
loop_
_atom_site_label
_atom_site_fract_x
_atom_site_fract_y
_atom_site_fract_z
_atom_site_occupancy
K1 0.000 0.023 0.000 1
K2 0.000 0.326 0.034 1
Tl1 0.000 0.098 0.367 1
Tl2 0.000 0.206 0.831 1
Tl3 0.000 0.210 0.247 1
Tl4 0.000 0.377 0.511 1
Tl5 0.000 0.450 0.170 1
Pd1 0.000 0.108 0.737 1
Pd2 0.000 0.274 0.545 1
Pd3 0.000 0.449 0.788 1
# Total magnetic moment, μB per atom: 0.00
# Calculated density, g/cm3: 9.0
# ΔH_f (0 K), meV per atom: -143
# Electronic total energy, eV/atom: -3.104

---

Record 12
# PBE KCa2BiCl8, relaxed
data_KCa2BiCl8
_cell_length_a 6.436
_cell_length_b 8.677
_cell_length_c 6.691
_cell_angle_alpha 90.00
_cell_angle_beta 90.26
_cell_angle_gamma 90.00
_symmetry_space_group_name_H-M 'P 1 2/m 1'
_symmetry_Int_Tables_number 10
_symmetry_space_group_name_Hall '-P 2y'
loop_
_atom_site_label
_atom_site_fract_x
_atom_site_fract_y
_atom_site_fract_z
_atom_site_occupancy
K1 0.000 0.000 0.000 1
Ca1 0.500 0.244 0.500 1
Bi1 0.000 0.500 0.000 1
Cl1 0.239 0.278 0.171 1
Cl2 0.269 0.500 0.670 1
Cl3 0.282 0.000 0.641 1
# Total magnetic moment, μB per atom: 0.00
# Calculated density, g/cm3: 2.7
# Electronic total energy, eV/atom: -3.819
# E_form (uncorrected), kJ per mole of atoms: -177.5

---

Which formula does entry 3 have? KUC2O8